Compound: Al2CuCl8
Source: Alexandria
Functional: GGA-PBEsol
Structure: optimized geometry

Computed properties:
symmetry	P2_1/c, No. 14
E_form (uncorrected)	-13.2	eV/f.u.
M_tot	2.00	μB/cell
final energy	-41.77	eV/f.u.

a b c (Å): 6.795 7.270 12.231
angles (deg): 90.00 95.98 90.00
Fractional positions:
Al  0.191  0.235  0.185
Al  0.191  0.265  0.685
Al  0.809  0.735  0.315
Al  0.809  0.765  0.815
Cu  0.000  0.000  0.500
Cu  0.000  0.500  0.000
Cl  0.104  0.749  0.410
Cl  0.104  0.751  0.910
Cl  0.161  0.231  0.855
Cl  0.161  0.269  0.355
Cl  0.290  0.006  0.613
Cl  0.290  0.494  0.113
Cl  0.361  0.011  0.144
Cl  0.361  0.489  0.644
Cl  0.639  0.511  0.356
Cl  0.639  0.989  0.856
Cl  0.710  0.506  0.887
Cl  0.710  0.994  0.387
Cl  0.839  0.731  0.645
Cl  0.839  0.769  0.145
Cl  0.896  0.249  0.090
Cl  0.896  0.251  0.590


Compound: Na2MoH2O3F4
Source: Alexandria
Functional: GGA-PBEsol
Structure: optimized geometry

Computed properties:
symmetry	P2_12_12_1, No. 19
DOS(E_F)	0.0	states/eV/f.u.
M_tot	0.17	μB/cell
final energy	-70.61	eV/f.u.

a b c (Å): 5.377 5.754 19.257
angles (deg): 90.00 90.00 90.00
Fractional positions:
Na  0.235  0.229  0.363
Na  0.237  0.670  0.251
Na  0.263  0.330  0.751
Na  0.265  0.771  0.863
Na  0.735  0.271  0.637
Na  0.737  0.830  0.749
Na  0.763  0.170  0.249
Na  0.765  0.729  0.137
Mo  0.230  0.770  0.637
Mo  0.270  0.230  0.137
Mo  0.730  0.730  0.363
Mo  0.770  0.270  0.863
H  0.020  0.217  0.498
H  0.218  0.013  0.501
H  0.282  0.987  0.001
H  0.480  0.783  0.998
H  0.520  0.283  0.502
H  0.718  0.487  0.499
H  0.782  0.513  0.999
H  0.980  0.717  0.002
O  0.045  0.418  0.868
O  0.154  0.205  0.055
O  0.189  0.172  0.482
O  0.311  0.828  0.982
O  0.346  0.795  0.555
O  0.455  0.582  0.368
O  0.545  0.082  0.132
O  0.654  0.295  0.945
O  0.689  0.328  0.518
O  0.811  0.672  0.018
O  0.846  0.705  0.445
O  0.955  0.918  0.632
F  0.026  0.914  0.324
F  0.081  0.970  0.176
F  0.099  0.461  0.630
F  0.146  0.719  0.744
F  0.354  0.281  0.244
F  0.401  0.539  0.130
F  0.419  0.030  0.676
F  0.474  0.086  0.824
F  0.526  0.586  0.676
F  0.581  0.530  0.824
F  0.599  0.039  0.370
F  0.646  0.781  0.256
F  0.854  0.219  0.756
F  0.901  0.961  0.870
F  0.919  0.470  0.324
F  0.974  0.414  0.176


Compound: TlInAs
Source: Alexandria
Functional: GGA-PBEsol
Structure: optimized geometry

Computed properties:
symmetry	F-43m, No. 216
DOS(E_F)	2.4	states/eV/f.u.
M_tot	0.00	μB/cell
E_form	0.303	eV/atom
final energy	-9.81	eV/f.u.

a b c (Å): 4.925 4.925 4.925
angles (deg): 60.00 60.00 60.00
Fractional positions:
Tl  0.000  0.000  0.000
In  0.750  0.750  0.750
As  0.250  0.250  0.250


Compound: BeMoP2Pt
Source: Alexandria
Functional: GGA-PBEsol
Structure: optimized geometry

Computed properties:
symmetry	P4/mmm, No. 123
DOS(E_F)	3.1	states/eV/f.u.
M_tot	2.02	μB/cell
E_form	0.970	eV/atom
final energy	-29.46	eV/f.u.

a b c (Å): 4.620 4.620 4.001
angles (deg): 90.00 90.00 90.00
Fractional positions:
Be  0.000  0.000  0.000
Mo  0.500  0.500  0.000
P  0.000  0.500  0.500
P  0.500  0.000  0.500
Pt  0.000  0.000  0.500


Compound: TaTi3N
Source: Alexandria
Functional: GGA-PBEsol
Structure: optimized geometry

Computed properties:
symmetry	Pm-3m, No. 221
DOS(E_F)	7.2	states/eV/f.u.
E_form (uncorrected)	10.5	eV/f.u.
M_tot	2.27	μB/cell
final energy	-35.58	eV/f.u.

a b c (Å): 4.700 4.700 4.700
angles (deg): 90.00 90.00 90.00
Fractional positions:
Ta  0.000  0.000  0.000
Ti  0.000  0.000  0.500
Ti  0.000  0.500  0.000
Ti  0.500  0.000  0.000
N  0.500  0.500  0.500


Compound: SnBI3
Source: Alexandria
Functional: GGA-PBEsol
Structure: optimized geometry

Computed properties:
symmetry	Pm-3m, No. 221
DOS(E_F)	2.7	states/eV/f.u.
E_form (uncorrected)	4.6	eV/f.u.
M_tot	0.24	μB/cell
final energy	-12.00	eV/f.u.

a b c (Å): 5.939 5.939 5.939
angles (deg): 90.00 90.00 90.00
Fractional positions:
Sn  0.000  0.000  0.000
B  0.500  0.500  0.500
I  0.000  0.000  0.500
I  0.000  0.500  0.000
I  0.500  0.000  0.000


Which of these has the lowest final energy? Na2MoH2O3F4


Which of these has the lowest final energy? Na2MoH2O3F4